! GGA-PBE CdRhW, relaxed; values from VASP
&SYSTEM
  ibrav = 0, nat = 12, ntyp = 3
/
ATOMIC_SPECIES
Cd 112.41 Cd.upf
Rh 102.91 Rh.upf
W 183.84 W.upf
ATOMIC_POSITIONS crystal
Cd 0.000 0.067 0.250
Cd 0.000 0.933 0.750
Cd 0.500 0.433 0.750
Cd 0.500 0.567 0.250
Rh 0.000 0.392 0.250
Rh 0.000 0.608 0.750
Rh 0.500 0.108 0.750
Rh 0.500 0.892 0.250
W 0.000 0.252 0.750
W 0.000 0.748 0.250
W 0.500 0.248 0.250
W 0.500 0.752 0.750
CELL_PARAMETERS angstrom
3.094 0.000 0.000
0.000 14.675 0.000
0.000 0.000 4.442
! distance to the lowest polymorph of the same formula	3.89	kcal/mol of atoms

## KScFeAs2 (GGA-PBE)

Data for a relaxed structure of KScFeAs2. Values from VASP.

The structure in Quantum ESPRESSO input format:
```
&SYSTEM
  ibrav = 0, nat = 5, ntyp = 4
/
ATOMIC_SPECIES
K 39.10 K.upf
Sc 44.96 Sc.upf
Fe 55.84 Fe.upf
As 74.92 As.upf
ATOMIC_POSITIONS crystal
K 0.000 0.000 0.000
Sc 0.500 0.500 0.000
Fe 0.500 0.500 0.500
As 0.000 0.500 0.500
As 0.500 0.000 0.500
CELL_PARAMETERS angstrom
4.884 0.000 0.000
0.000 4.884 0.000
0.000 0.000 4.655
```

Magnetic moment readings, ordered: 0.000; 1.545 μB/f.u.
Energy readings, ordered: -84.10; -25.16 eV/cell
Calculated formation energy readings, ordered: 0.065; 0.005 eV per atom